(1)
The following is a DFT calculation (PBE-GGA) of crystalline K2TlMo at its relaxed geometry.

abc: 5.6092 5.6092 5.6092
angles: 119.97 119.97 90.05
Closest atoms and distances in Å follow each position.
Element x y z (fractional)
K1 0.0000 0.0000 0.0000  4 Tl 3.44, 4 K 3.44
K2 0.2500 0.7500 0.5000  4 Mo 3.44, 4 K 3.44
Mo1 0.5000 0.5000 0.0000  4 K 3.44, 4 Tl 3.44
Tl1 0.7500 0.2500 0.5000  4 Mo 3.44, 4 K 3.44

Properties
Formation energy from the elements, eV per atom: 0.9955
Space-group type: No. 216

---

(2)
The following is a DFT calculation (PBE-GGA) of crystalline Mg3Cd4In at its relaxed geometry.

abc: 5.6362 6.3506 10.0853
angles: 90.00 90.00 90.00
Closest atoms and distances in Å follow each position.
Element x y z (fractional)
Mg1 0.0000 0.0000 0.0000  8 Cd 3.07-3.22, 2 In 3.18, 2 Mg 3.22
Mg2 0.0000 0.0000 0.5000  8 Cd 3.07-3.22, 2 In 3.18, 2 Mg 3.22
Mg3 0.6447 0.0000 0.7500  8 Cd 3.07-3.24, 4 Mg 3.18-3.22
Mg4 0.3553 0.0000 0.2500  8 Cd 3.07-3.24, 4 Mg 3.18-3.22
Mg5 0.6477 0.5000 0.7500  8 Cd 3.11-3.27, 2 Mg 3.18, 2 In 3.21
Mg6 0.3523 0.5000 0.2500  8 Cd 3.11-3.27, 2 Mg 3.18, 2 In 3.21
In1 0.0000 0.5000 0.0000  8 Cd 3.12-3.25, 4 Mg 3.18-3.21
In2 0.0000 0.5000 0.5000  8 Cd 3.12-3.25, 4 Mg 3.18-3.21
Cd1 0.5000 0.7548 0.0000  6 Mg 3.07-3.22, 4 Cd 3.11-3.24, 2 In 3.25
Cd2 0.5000 0.7548 0.5000  6 Mg 3.07-3.22, 4 Cd 3.11-3.24, 2 In 3.25
Cd3 0.5000 0.2452 0.0000  6 Mg 3.07-3.22, 4 Cd 3.11-3.24, 2 In 3.25
Cd4 0.5000 0.2452 0.5000  6 Mg 3.07-3.22, 4 Cd 3.11-3.24, 2 In 3.25
Cd5 0.1499 0.7570 0.7500  6 Mg 3.07-3.27, 4 Cd 3.09-3.26, 2 In 3.12
Cd6 0.8501 0.7570 0.2500  6 Mg 3.07-3.27, 4 Cd 3.09-3.26, 2 In 3.12
Cd7 0.8501 0.2430 0.2500  6 Mg 3.07-3.27, 4 Cd 3.09-3.26, 2 In 3.12
Cd8 0.1499 0.2430 0.7500  6 Mg 3.07-3.27, 4 Cd 3.09-3.26, 2 In 3.12

Properties
Formation energy from the elements, eV per atom: -0.0587
Space-group type: No. 51

---

(3)
The following is a DFT calculation (PBE-GGA) of crystalline Pm2Zn4Ga3Ag at its relaxed geometry.

abc: 4.2637 4.2637 10.6850
angles: 90.00 90.00 90.00
Closest atoms and distances in Å follow each position.
Element x y z (fractional)
Pm1 0.5000 0.0000 0.2445  6 Ga 3.24-3.46, 8 Zn 3.27-3.37, 2 Ag 3.46
Pm2 0.0000 0.5000 0.7555  6 Ga 3.24-3.46, 8 Zn 3.27-3.37, 2 Ag 3.46
Zn1 0.5000 0.5000 0.0000  4 Ga 2.57
Zn2 0.0000 0.0000 0.0000  4 Ga 2.57
Zn3 0.5000 0.0000 0.6374  3 Ga 2.44-2.59, 2 Ag 2.59
Zn4 0.0000 0.5000 0.3626  3 Ga 2.44-2.59, 2 Ag 2.59
Ga1 0.0000 0.0000 0.5000  4 Zn 2.59
Ga2 0.5000 0.0000 0.8653  5 Zn 2.44-2.57
Ga3 0.0000 0.5000 0.1347  5 Zn 2.44-2.57
Ag1 0.5000 0.5000 0.5000  4 Zn 2.59

Properties
Formation energy from the elements, eV per atom: -0.4134
Space-group type: No. 115

---

(4)
The following is a DFT calculation (PBE-GGA) of crystalline Dy3Tc2Ge4 at its relaxed geometry.

abc: 4.3619 5.8475 8.2501
angles: 108.99 90.00 111.90
Closest atoms and distances in Å follow each position.
Element x y z (fractional)
Dy1 0.6281 0.2562 0.6972  7 Ge 2.94-3.15, 4 Tc 3.05-3.20
Dy2 0.0000 0.0000 0.0000  6 Ge 3.03-3.16
Dy3 0.3719 0.7438 0.3028  7 Ge 2.94-3.15, 4 Tc 3.05-3.20
Tc1 0.6787 0.3573 0.3557  4 Ge 2.43-2.56
Tc2 0.3213 0.6427 0.6443  4 Ge 2.43-2.56
Ge1 0.7069 0.4138 0.0758  1 Tc 2.43
Ge2 0.2931 0.5862 0.9242  1 Tc 2.43
Ge3 0.9070 0.8141 0.5910  3 Tc 2.47-2.56
Ge4 0.0930 0.1859 0.4090  3 Tc 2.47-2.56

Properties
Formation energy from the elements, eV per atom: -0.6386
Space-group type: No. 12

---

(5)
The following is a DFT calculation (PBE-GGA) of crystalline KAlAu4 at its relaxed geometry.

abc: 6.3467 6.2863 7.5265
angles: 114.68 91.48 90.00
Closest atoms and distances in Å follow each position.
Element x y z (fractional)
K1 0.8679 0.7856 0.5712  8 Au 3.22-3.50
K2 0.1321 0.2144 0.4288  8 Au 3.22-3.50
Al1 0.2958 0.5421 0.0842  7 Au 2.55-2.73
Al2 0.7042 0.4579 0.9158  7 Au 2.55-2.73
Au1 0.3728 0.7260 0.4521  1 Al 2.55, 2 Au 2.80
Au2 0.3897 0.1275 0.8067  2 Al 2.65-2.73, 5 Au 2.80-2.96
Au3 0.0000 0.2299 0.0000  2 Al 2.58, 3 Au 2.84-2.89
Au4 0.6103 0.3209 0.1933  2 Al 2.65-2.73, 5 Au 2.80-2.96
Au5 0.6272 0.2740 0.5479  1 Al 2.55, 2 Au 2.80
Au6 0.6103 0.8725 0.1933  2 Al 2.65-2.73, 5 Au 2.80-2.96
Au7 0.0000 0.7701 0.0000  2 Al 2.58, 3 Au 2.84-2.89
Au8 0.3897 0.6791 0.8067  2 Al 2.65-2.73, 5 Au 2.80-2.96

Properties
Formation energy from the elements, eV per atom: -0.2731
Space-group type: No. 12

---

(6)
The following is a DFT calculation (PBE-GGA) of crystalline AlCoH2 at its relaxed geometry.

abc: 3.5186 3.5186 3.5186
angles: 60.00 60.00 60.00
Closest atoms and distances in Å follow each position.
Element x y z (fractional)
H1 0.2500 0.2500 0.2500  4 Co 2.15, 4 Al 2.15
H2 0.7500 0.7500 0.7500  4 Co 2.15, 4 Al 2.15
Co1 0.5000 0.5000 0.5000  8 H 2.15
Al1 0.0000 0.0000 0.0000  8 H 2.15

Properties
DFT total energy, eV/atom: -3.89
Space-group type: No. 225